# Sc6Ga5Pd

Crystalline Sc6Ga5Pd at its relaxed geometry (PBE, Alexandria).

DOS at the Fermi energy = 6.51 states/eV/cell
Total magnetization = 0.0 μB per formula unit
E = -66.0 eV/cell
Calculated formation energy = -745.8 kJ/mol of formula units

a = 4.648 Å, b = 6.966 Å, c = 7.357 Å
α = 90.00°, β = 71.59°, γ = 90.00°
Fractional positions:
Ga1 0.337 0.000 0.325
Ga2 0.663 0.000 0.675
Ga3 0.668 0.500 0.664
Ga4 0.000 0.500 0.000
Ga5 0.332 0.500 0.336
Sc1 0.166 0.752 0.667
Sc2 0.834 0.752 0.333
Sc3 0.834 0.248 0.333
Pd1 0.000 0.000 0.000
Sc4 0.166 0.248 0.667
Sc5 0.500 0.251 0.000
Sc6 0.500 0.749 0.000

# Sc4Ga6Pd7

Crystalline Sc4Ga6Pd7 at its relaxed geometry (PBE, Alexandria).

DOS at the Fermi energy = 9.96 states/eV/cell
Total magnetization = 0.0 μB per formula unit
E = -93.7 eV/cell
Calculated formation energy = -1334.3 kJ/mol of formula units

a = 7.196 Å, b = 7.196 Å, c = 7.196 Å
α = 109.47°, β = 109.47°, γ = 109.47°
Fractional positions:
Pd1 0.000 0.000 0.000
Ga1 0.000 0.312 0.312
Sc1 0.000 0.500 0.000
Sc2 0.000 0.000 0.500
Pd2 0.500 0.750 0.250
Ga2 0.000 0.688 0.688
Pd3 0.250 0.750 0.500
Pd4 0.750 0.500 0.250
Sc3 0.500 0.500 0.500
Pd5 0.750 0.250 0.500
Ga3 0.688 0.688 0.000
Ga4 0.312 0.000 0.312
Sc4 0.500 0.000 0.000
Ga5 0.312 0.312 0.000
Pd6 0.500 0.250 0.750
Ga6 0.688 0.000 0.688
Pd7 0.250 0.500 0.750

# Sc12Ga3Pd5

Crystalline Sc12Ga3Pd5 at its relaxed geometry (PBE, Alexandria).

DOS at the Fermi energy = 86.55 states/eV/cell
Total magnetization = 0.0 μB per formula unit
E = -459.1 eV/cell
Calculated formation energy = -362.9 kJ/mol of formula units

a = 13.699 Å, b = 13.699 Å, c = 13.699 Å
α = 109.47°, β = 109.47°, γ = 109.47°
Fractional positions:
Sc1 0.580 0.631 0.411
Sc2 0.631 0.580 0.911
Pd1 0.500 0.500 0.500
Pd2 0.000 0.500 0.000
Sc3 0.780 0.450 0.369
Ga1 0.875 0.750 0.125
Sc4 0.280 0.869 0.950
Pd3 0.750 0.125 0.875
Sc5 0.780 0.331 0.911
Sc6 0.331 0.550 0.420
Ga2 0.375 0.625 0.250
Ga3 0.625 0.375 0.750
Sc7 0.669 0.450 0.580
Ga4 0.375 0.750 0.625
Sc8 0.869 0.589 0.920
Sc9 0.420 0.050 0.331
Ga5 0.250 0.625 0.875
Pd4 0.250 0.375 0.625
Pd5 0.125 0.375 0.250
Ga6 0.125 0.875 0.750
Sc10 0.869 0.280 0.450
Sc11 0.920 0.089 0.869
Sc12 0.831 0.920 0.050
Sc13 0.050 0.420 0.831
Pd6 0.375 0.250 0.125
Sc14 0.420 0.369 0.589
Pd7 0.250 0.875 0.125
Sc15 0.131 0.720 0.550
Sc16 0.080 0.169 0.450
Sc17 0.280 0.411 0.831
Sc18 0.920 0.831 0.550
Ga7 0.625 0.250 0.375
Sc19 0.580 0.950 0.669
Ga8 0.750 0.875 0.625
Pd8 0.750 0.625 0.375
Sc20 0.411 0.280 0.331
Sc21 0.720 0.131 0.050
Sc22 0.369 0.420 0.089
Pd9 0.000 0.000 0.500
Sc23 0.911 0.080 0.631
Sc24 0.220 0.669 0.089
Sc25 0.331 0.780 0.411
Sc26 0.089 0.920 0.369
Pd10 0.875 0.625 0.750
Pd11 0.125 0.750 0.375
Sc27 0.720 0.589 0.169
Sc28 0.169 0.089 0.720
Sc29 0.831 0.911 0.280
Pd12 0.500 0.500 0.000
Sc30 0.220 0.550 0.631
Ga9 0.125 0.250 0.875
Sc31 0.911 0.831 0.780
Pd13 0.625 0.875 0.250
Pd14 0.375 0.125 0.750
Pd15 0.000 0.000 0.000
Sc32 0.369 0.950 0.780
Ga10 0.250 0.125 0.375
Ga11 0.875 0.125 0.250
Sc33 0.950 0.369 0.280
Sc34 0.669 0.220 0.589
Sc35 0.050 0.631 0.720
Sc36 0.631 0.050 0.220
Pd16 0.500 0.000 0.000
Sc37 0.169 0.080 0.950
Sc38 0.589 0.720 0.669
Pd17 0.500 0.000 0.500
Sc39 0.080 0.911 0.131
Sc40 0.131 0.411 0.080
Sc41 0.589 0.869 0.420
Ga12 0.750 0.375 0.125
Sc42 0.550 0.331 0.920
Sc43 0.450 0.669 0.080
Sc44 0.411 0.131 0.580
Sc45 0.950 0.580 0.169
Pd18 0.875 0.250 0.625
Pd19 0.000 0.500 0.500
Sc46 0.450 0.780 0.869
Sc47 0.550 0.220 0.131
Pd20 0.625 0.750 0.875
Sc48 0.089 0.169 0.220

# Sc2Ga2Pd5

Crystalline Sc2Ga2Pd5 at its relaxed geometry (PBE, Alexandria).

DOS at the Fermi energy = 8.43 states/eV/cell
Total magnetization = 0.0 μB per formula unit
E = -100.5 eV/cell
Calculated formation energy = -537.9 kJ/mol of formula units

a = 7.271 Å, b = 6.269 Å, c = 8.453 Å
α = 111.77°, β = 115.47°, γ = 90.00°
Fractional positions:
Ga1 0.000 0.929 0.000
Pd1 0.948 0.599 0.500
Sc1 0.092 0.673 0.249
Pd2 0.347 0.047 0.310
Ga2 0.726 0.930 0.500
Sc2 0.908 0.424 0.751
Sc3 0.343 0.924 0.751
Ga3 0.274 0.430 0.500
Pd3 0.174 0.229 0.960
Pd4 0.826 0.269 0.040
Sc4 0.657 0.173 0.249
Ga4 0.500 0.429 0.000
Pd5 0.052 0.099 0.500
Pd6 0.714 0.769 0.040
Pd7 0.653 0.736 0.690
Pd8 0.537 0.236 0.690
Pd9 0.463 0.547 0.310
Pd10 0.286 0.729 0.960

# Sc3Ga9Pd2

Crystalline Sc3Ga9Pd2 at its relaxed geometry (PBE, Alexandria).

DOS at the Fermi energy = 4.05 states/eV/cell
Total magnetization = 0.0 μB per formula unit
E = -64.5 eV/cell
Calculated formation energy = -759.9 kJ/mol of formula units

a = 4.183 Å, b = 7.981 Å, c = 7.981 Å
α = 72.37°, β = 74.81°, γ = 74.81°
Fractional positions:
Ga1 0.141 0.144 0.573
Ga2 0.859 0.856 0.427
Sc1 0.000 0.000 0.000
Sc2 0.295 0.705 0.705
Ga3 0.651 0.718 0.980
Ga4 0.859 0.427 0.856
Pd1 0.500 0.324 0.676
Pd2 0.500 0.676 0.324
Ga5 0.651 0.980 0.718
Ga6 0.141 0.573 0.144
Ga7 0.349 0.282 0.020
Ga8 0.349 0.020 0.282
Ga9 0.000 0.500 0.500
Sc3 0.705 0.295 0.295

# ScGaPd5

Crystalline ScGaPd5 at its relaxed geometry (PBE, Alexandria).

DOS at the Fermi energy = 5.14 states/eV/cell
Total magnetization = 0.0 μB per formula unit
Distance to the lowest polymorph of the same formula = 0.1825 eV per atom
E = -77.9 eV/cell
Calculated formation energy = -350.0 kJ/mol of formula units

a = 7.690 Å, b = 7.690 Å, c = 7.391 Å
α = 49.54°, β = 49.54°, γ = 78.27°
Fractional positions:
Ga1 0.000 0.000 0.500
Pd1 0.883 0.680 0.544
Sc1 0.562 0.438 0.250
Sc2 0.438 0.562 0.750
Pd2 0.680 0.883 0.044
Pd3 0.320 0.117 0.956
Pd4 0.117 0.320 0.456
Pd5 0.455 0.791 0.908
Pd6 0.545 0.209 0.092
Pd7 0.209 0.545 0.592
Pd8 0.173 0.827 0.750
Pd9 0.791 0.455 0.408
Pd10 0.827 0.173 0.250
Ga2 0.000 0.000 0.000

# Sc3Ga3Pd

Crystalline Sc3Ga3Pd at its relaxed geometry (PBE, Alexandria).

DOS at the Fermi energy = 9.89 states/eV/cell
Total magnetization = 0.0 μB per formula unit
Distance to the lowest polymorph of the same formula = 0.1642 eV per atom
E = -73.9 eV/cell
Calculated formation energy = -356.2 kJ/mol of formula units

a = 4.882 Å, b = 7.816 Å, c = 7.816 Å
α = 120.00°, β = 90.00°, γ = 90.00°
Fractional positions:
Pd1 0.750 0.333 0.667
Sc1 0.750 0.449 0.084
Sc2 0.750 0.916 0.365
Ga1 0.250 0.957 0.189
Sc3 0.750 0.635 0.551
Pd2 0.250 0.667 0.333
Ga2 0.750 0.768 0.957
Ga3 0.750 0.043 0.811
Ga4 0.250 0.811 0.768
Ga5 0.250 0.232 0.043
Sc4 0.250 0.084 0.635
Sc5 0.250 0.551 0.916
Ga6 0.750 0.189 0.232
Sc6 0.250 0.365 0.449

# Sc3Ga6Pd

Crystalline Sc3Ga6Pd at its relaxed geometry (PBE, Alexandria).

DOS at the Fermi energy = 5.78 states/eV/cell
Total magnetization = 0.0 μB per formula unit
E = -45.3 eV/cell
Calculated formation energy = -288.3 kJ/mol of formula units

a = 5.686 Å, b = 6.662 Å, c = 6.662 Å
α = 112.25°, β = 106.53°, γ = 106.53°
Fractional positions:
Ga1 0.002 0.000 0.243
Ga2 0.243 0.000 0.622
Ga3 0.621 0.378 0.378
Ga4 0.759 0.757 0.757
Pd1 0.281 0.000 0.000
Ga5 0.002 0.243 0.000
Sc1 0.183 0.519 0.519
Ga6 0.243 0.622 0.000
Sc2 0.664 0.481 0.000
Sc3 0.664 0.000 0.481